Entry 1:
Compound: ScPbN2O
Source: the Alexandria database
Functional: PBEsol
Structure: optimized geometry Values from VASP.

```
&SYSTEM
  ibrav = 0, nat = 5, ntyp = 4
/
ATOMIC_SPECIES
Pb 207.20 Pb.upf
Sc 44.96 Sc.upf
O 16.00 O.upf
N 14.01 N.upf
CELL_PARAMETERS angstrom
-3.577 1.790 1.090
-1.778 -3.726 0.282
1.102 -0.224 3.982
ATOMIC_POSITIONS crystal
Pb 0.000 0.000 0.000
Sc 0.500 0.500 0.500
O 0.500 0.000 0.000
N 0.000 0.000 0.500
N 0.000 0.500 0.000
```

Computed properties:
The calculation puts the raw total energy at -6.147 eV/atom. As for the space group: No. 123. The value obtained for the formation energy (no corrections) is 0.43 eV/atom.

---

Entry 2:
Compound: NbWSCl2
Source: the Alexandria database
Functional: PBEsol
Structure: optimized geometry Values from VASP.

```
&SYSTEM
  ibrav = 0, nat = 5, ntyp = 4
/
ATOMIC_SPECIES
Nb 92.91 Nb.upf
S 32.06 S.upf
W 183.84 W.upf
Cl 35.45 Cl.upf
CELL_PARAMETERS angstrom
-2.644 -3.424 1.768
1.869 0.738 4.224
-3.374 3.096 0.952
ATOMIC_POSITIONS crystal
Nb 0.500 0.500 0.500
S 0.500 0.000 0.000
W 0.000 0.000 0.000
Cl 0.000 0.000 0.500
Cl 0.000 0.500 0.000
```

Computed properties:
The calculation puts the raw total energy at -5.867 eV/atom. As for the space group: No. 123. The value obtained for the formation energy (no corrections) is 0.74 eV/atom.

---

Entry 3:
Compound: RuRh2Au
Source: the Alexandria database
Functional: PBEsol
Structure: optimized geometry Values from VASP.

```
&SYSTEM
  ibrav = 0, nat = 4, ntyp = 3
/
ATOMIC_SPECIES
Au 196.97 Au.upf
Rh 102.91 Rh.upf
Ru 101.07 Ru.upf
CELL_PARAMETERS angstrom
2.689 0.003 0.000
-0.048 4.710 0.000
-1.321 -2.356 4.597
ATOMIC_POSITIONS crystal
Au 0.500 0.000 0.000
Rh 0.500 0.500 0.500
Rh 0.000 0.000 0.500
Ru 0.000 0.500 0.000
```

Computed properties:
As for the formation energy: 0.44 eV/atom. The calculation puts the raw total energy at -7.151 eV/atom. The calculation puts the energy relative to the lowest polymorph listed for this composition at 8.55 kcal/mol of atoms. As for the space group: No. 12.

---

Entry 4:
Compound: Ti2CdNiB
Source: the Alexandria database
Functional: PBEsol
Structure: optimized geometry Values from VASP.

```
&SYSTEM
  ibrav = 0, nat = 5, ntyp = 4
/
ATOMIC_SPECIES
Ni 58.69 Ni.upf
B 10.81 B.upf
Ti 47.87 Ti.upf
Cd 112.41 Cd.upf
CELL_PARAMETERS angstrom
3.899 0.000 0.000
0.000 4.930 0.000
0.000 0.000 4.930
ATOMIC_POSITIONS crystal
Ni 0.500 0.500 0.500
B 0.500 0.000 0.000
Ti 0.000 0.000 0.500
Ti 0.000 0.500 0.000
Cd 0.000 0.000 0.000
```

Computed properties:
As for the formation energy: 1.69 eV/atom. The calculation puts the raw total energy at -4.517 eV/atom. As for the space group: No. 123.

---

Entry 5:
Compound: NaCu3F7
Source: the Alexandria database
Functional: PBEsol
Structure: optimized geometry Values from VASP.

```
&SYSTEM
  ibrav = 0, nat = 22, ntyp = 3
/
ATOMIC_SPECIES
Na 22.99 Na.upf
Cu 63.55 Cu.upf
F 19.00 F.upf
CELL_PARAMETERS angstrom
6.868 0.051 -0.036
3.074 6.340 -0.042
-3.074 -2.177 5.954
ATOMIC_POSITIONS crystal
Na 0.000 0.500 0.500
Na 0.500 0.500 0.500
Cu 0.500 0.000 0.500
Cu 0.000 0.500 0.000
Cu 0.500 0.000 0.000
Cu 0.000 0.000 0.000
Cu 0.500 0.500 0.000
Cu 0.000 0.000 0.500
F 0.250 0.888 0.888
F 0.750 0.112 0.112
F 0.102 0.687 0.372
F 0.398 0.372 0.687
F 0.898 0.313 0.628
F 0.602 0.628 0.313
F 0.179 0.028 0.367
F 0.321 0.367 0.028
F 0.999 0.303 0.114
F 0.501 0.114 0.303
F 0.001 0.697 0.886
F 0.499 0.886 0.697
F 0.679 0.633 0.972
F 0.821 0.972 0.633
```

Computed properties:
The calculation puts the raw total energy at -4.257 eV/atom. As for the space group: No. 15. The value obtained for the formation energy (no corrections) is -1.72 eV/atom.

---

Entry 6:
Compound: P3C
Source: the Alexandria database
Functional: PBEsol
Structure: optimized geometry Values from VASP.

```
&SYSTEM
  ibrav = 0, nat = 4, ntyp = 2
/
ATOMIC_SPECIES
P 30.97 P.upf
C 12.01 C.upf
CELL_PARAMETERS angstrom
-0.023 3.067 0.830
-1.778 0.970 2.448
3.448 0.488 4.372
ATOMIC_POSITIONS crystal
P 0.741 0.741 0.778
P 0.500 0.500 0.500
P 0.259 0.259 0.222
C 0.000 0.000 0.000
```

Computed properties:
As for the formation energy: 0.74 eV/atom. The calculation puts the raw total energy at -6.018 eV/atom. The calculation puts the energy relative to the lowest polymorph listed for this composition at 3.58 kcal/mol of atoms. As for the space group: No. 166.

---

Entry 7:
Compound: YTcPt2
Source: the Alexandria database
Functional: PBEsol
Structure: optimized geometry Values from VASP.

```
&SYSTEM
  ibrav = 0, nat = 4, ntyp = 3
/
ATOMIC_SPECIES
Pt 195.08 Pt.upf
Tc 98.00 Tc.upf
Y 88.91 Y.upf
CELL_PARAMETERS angstrom
3.382 0.000 0.000
0.000 3.382 0.000
0.000 0.000 6.100
ATOMIC_POSITIONS crystal
Pt 0.000 0.000 0.017
Pt 0.500 0.500 0.269
Tc 0.000 0.000 0.452
Y 0.500 0.500 0.761
```

Computed properties:
As for the formation energy: -0.24 eV/atom. The calculation puts the raw total energy at -8.247 eV/atom. The calculation puts the energy relative to the lowest polymorph listed for this composition at 1.31 kcal/mol of atoms. As for the space group: No. 99.

---

Entry 8:
Compound: FeAsPt
Source: the Alexandria database
Functional: PBEsol
Structure: optimized geometry Values from VASP.

```
&SYSTEM
  ibrav = 0, nat = 3, ntyp = 3
/
ATOMIC_SPECIES
As 74.92 As.upf
Fe 55.84 Fe.upf
Pt 195.08 Pt.upf
CELL_PARAMETERS angstrom
-1.321 -2.273 1.219
3.376 -1.749 0.398
-0.599 3.630 2.675
ATOMIC_POSITIONS crystal
As 0.998 0.998 0.996
Fe 0.673 0.673 0.346
Pt 0.329 0.329 0.658
```

Computed properties:
As for the formation energy: 0.05 eV/atom. The calculation puts the raw total energy at -6.962 eV/atom. As for the space group: No. 44.